Ag4WCl | PBE | optimized geometry

Properties
Final energy   -3.481 eV per atom
Formation energy without anion corrections   886.8 meV per atom
Density of states at the Fermi level   4.03 states/eV per cell
Total magnetization   4.1 μB per formula unit
Space-group type   F-43m

POSCAR file:
```
Ag4WCl
1.0
0.0000 3.9093 3.9093
3.9093 0.0000 3.9093
3.9093 3.9093 0.0000
Ag W Cl
4 1 1
Cartesian
0.9804 0.9804 0.9804 Ag
2.9289 2.9289 0.9804 Ag
2.9289 0.9804 2.9289 Ag
0.9804 2.9289 2.9289 Ag
3.9093 3.9093 3.9093 W
5.8640 5.8640 5.8640 Cl
```